# 1
Compound: Ta2Se3S
Source: OQMD via LeMat-Bulk
Functional: PBE-GGA
Structure: optimized geometry

Properties
Its space group is No. 2. The energy is -7.24 eV/atom.

Cell lengths 6.9205, 6.9218, 7.0806 Å; angles 104.11, 90.80, 119.99 degrees
Fractional positions:
S 0.8751 0.2565 0.2796
S 0.1249 0.7435 0.7204
Se 0.3719 0.7481 0.2513
Se 0.8689 0.7483 0.2520
Se 0.3715 0.2504 0.2550
Se 0.6285 0.7496 0.7450
Se 0.1311 0.2517 0.7480
Se 0.6281 0.2519 0.7487
Ta 0.2482 0.9955 0.4986
Ta 0.2442 0.5004 0.5000
Ta 0.7558 0.4996 0.5000
Ta 0.7518 0.0045 0.5014

=====

# 2
Compound: Np2Se3
Source: OQMD via LeMat-Bulk
Functional: PBE-GGA
Structure: optimized geometry

Properties
Its space group is No. 62. The energy is -8.48 eV/atom.

Cell lengths 11.0489, 4.0370, 10.8846 Å; angles 90.00, 90.00, 90.00 degrees
Each line ends with the local moment (μB).
Fractional positions:
Np 0.8128 0.2500 0.0077  3.95
Np 0.5089 0.7500 0.1829  3.86
Np 0.0089 0.7500 0.3171  3.87
Np 0.3128 0.2500 0.4923  3.94
Np 0.6872 0.7500 0.5077  3.94
Np 0.9911 0.2500 0.6829  3.87
Np 0.4911 0.2500 0.8171  3.86
Np 0.1872 0.7500 0.9923  3.95
Se 0.3741 0.2500 0.0559  -0.12
Se 0.0510 0.2500 0.1308  -0.11
Se 0.7719 0.7500 0.2031  -0.13
Se 0.2719 0.7500 0.2969  -0.13
Se 0.5510 0.2500 0.3692  -0.11
Se 0.8741 0.2500 0.4441  -0.12
Se 0.1259 0.7500 0.5559  -0.12
Se 0.4490 0.7500 0.6308  -0.11
Se 0.7281 0.2500 0.7031  -0.13
Se 0.2281 0.2500 0.7969  -0.13
Se 0.9490 0.7500 0.8692  -0.11
Se 0.6259 0.7500 0.9441  -0.12

=====

# 3
Compound: LuZnAgPd
Source: OQMD via LeMat-Bulk
Functional: PBE-GGA
Structure: optimized geometry

Properties
Its space group is No. 216. The energy is -3.89 eV/atom.

Cell lengths 4.7069, 4.7069, 4.7069 Å; angles 60.00, 60.00, 60.00 degrees
Fractional positions:
Ag 0.2500 0.2500 0.2500
Lu 0.7500 0.7500 0.7500
Pd 0.0000 0.0000 0.0000
Zn 0.5000 0.5000 0.5000

=====

# 4
Compound: Er2TmAl3NiAu2
Source: OQMD via LeMat-Bulk
Functional: PBE-GGA
Structure: optimized geometry

Properties
Its space group is No. 38. The energy is -4.87 eV/atom.

Cell lengths 4.0548, 7.1044, 7.1044 Å; angles 119.96, 90.00, 90.00 degrees
Fractional positions:
Al 0.5000 0.2268 0.0000
Al 0.5000 0.0000 0.2268
Al 0.5000 0.7737 0.7737
Au 0.5000 0.6655 0.3339
Au 0.5000 0.3339 0.6655
Er 0.0000 0.5992 0.0000
Er 0.0000 0.0000 0.5992
Ni 0.0000 0.0011 0.0011
Tm 0.0000 0.3997 0.3997

=====

# 5
Compound: DyH2
Source: OQMD via LeMat-Bulk
Functional: PBE-GGA
Structure: optimized geometry

Properties
Its space group is No. 227. The energy is -3.62 eV/atom.

Cell lengths 6.4790, 6.4790, 6.4790 Å; angles 60.00, 60.00, 60.00 degrees
Each line ends with the local moment (μB).
Fractional positions:
Dy 0.0000 0.0000 0.0000  0.35
Dy 0.2500 0.2500 0.2500  0.35
H 0.1250 0.1250 0.1250  0.00
H 0.6250 0.1250 0.1250  0.00
H 0.1250 0.6250 0.1250  0.00
H 0.1250 0.1250 0.6250  0.00

=====

# 6
Compound: BaCoMo
Source: OQMD via LeMat-Bulk
Functional: PBE-GGA
Structure: optimized geometry

Properties
Its space group is No. 216. The energy is -5.15 eV/atom.

Cell lengths 4.6774, 4.6774, 4.6774 Å; angles 60.00, 60.00, 60.00 degrees
Fractional positions:
Ba 0.2500 0.2500 0.2500
Co 0.0000 0.0000 0.0000
Mo 0.7500 0.7500 0.7500

=====

# 7
Compound: Lu2ScSb
Source: OQMD via LeMat-Bulk
Functional: PBE-GGA
Structure: optimized geometry

Properties
Its space group is No. 216. The energy is -5.07 eV/atom.

Cell lengths 5.1699, 5.1699, 5.1699 Å; angles 60.00, 60.00, 60.00 degrees
Fractional positions:
Lu 0.0000 0.0000 0.0000
Lu 0.7500 0.7500 0.7500
Sb 0.5000 0.5000 0.5000
Sc 0.2500 0.2500 0.2500

=====

# 8
Compound: HfCoSiAg
Source: OQMD via LeMat-Bulk
Functional: PBE-GGA
Structure: optimized geometry

Properties
Its space group is No. 216. The energy is -6.34 eV/atom.

Cell lengths 4.4299, 4.4299, 4.4299 Å; angles 60.00, 60.00, 60.00 degrees
Each line ends with the local moment (μB).
Fractional positions:
Ag 0.5000 0.5000 0.5000  -0.01
Co 0.7500 0.7500 0.7500  0.46
Hf 0.2500 0.2500 0.2500  -0.03
Si 0.0000 0.0000 0.0000  0.00

=====

# 9
Compound: Ge3Pb2Au2
Source: OQMD via LeMat-Bulk
Functional: PBE-GGA
Structure: optimized geometry

Properties
Its space group is No. 160. The energy is -3.78 eV/atom.

Cell lengths 8.5440, 8.5440, 8.5440 Å; angles 33.01, 33.01, 33.01 degrees
Fractional positions:
Au 0.0000 0.0000 0.0000
Au 0.4862 0.4862 0.4862
Ge 0.3666 0.3666 0.3666
Ge 0.6433 0.6433 0.6433
Ge 0.8840 0.8840 0.8840
Pb 0.2296 0.2296 0.2296
Pb 0.7653 0.7653 0.7653

=====

# 10
Compound: Y2ErFe2Ni7
Source: OQMD via LeMat-Bulk
Functional: PBE-GGA
Structure: optimized geometry

Properties
Its space group is No. 166. The energy is -6.43 eV/atom.

Cell lengths 8.5903, 8.5903, 8.5903 Å; angles 33.75, 33.75, 33.75 degrees
Each line ends with the local moment (μB).
Fractional positions:
Er 0.0000 0.0000 0.0000  -0.17
Fe 0.3325 0.3325 0.3325  2.48
Fe 0.6675 0.6675 0.6675  2.48
Ni 0.5802 0.5802 0.0821  0.28
Ni 0.9179 0.4198 0.4198  0.28
Ni 0.4198 0.9179 0.4198  0.29
Ni 0.5000 0.5000 0.5000  0.04
Ni 0.5802 0.0821 0.5802  0.29
Ni 0.0821 0.5802 0.5802  0.28
Ni 0.4198 0.4198 0.9179  0.28
Y 0.1383 0.1383 0.1383  -0.11
Y 0.8617 0.8617 0.8617  -0.11

=====

# 11
Compound: HgI
Source: OQMD via LeMat-Bulk
Functional: PBE-GGA
Structure: optimized geometry

Properties
Its space group is No. 194. The energy is -1.16 eV/atom.

Cell lengths 4.4385, 4.4385, 19.0494 Å; angles 90.00, 90.00, 120.00 degrees
Fractional positions:
Hg 0.0000 0.0000 0.1797
Hg 0.0000 0.0000 0.3203
Hg 0.0000 0.0000 0.6797
Hg 0.0000 0.0000 0.8203
I 0.6667 0.3333 0.0948
I 0.6667 0.3333 0.4052
I 0.3333 0.6667 0.5948
I 0.3333 0.6667 0.9052

=====

# 12
Compound: YLu2In
Source: OQMD via LeMat-Bulk
Functional: PBE-GGA
Structure: optimized geometry

Properties
Its space group is No. 216. The energy is -4.69 eV/atom.

Cell lengths 5.3729, 5.3729, 5.3729 Å; angles 60.00, 60.00, 60.00 degrees
Each line ends with the local moment (μB).
Fractional positions:
In 0.5000 0.5000 0.5000  0.00
Lu 0.0000 0.0000 0.0000  0.20
Lu 0.7500 0.7500 0.7500  0.18
Y 0.2500 0.2500 0.2500  0.15

=====

# 13
Compound: NiBiB
Source: OQMD via LeMat-Bulk
Functional: PBE-GGA
Structure: optimized geometry

Properties
Its space group is No. 216. The energy is -4.58 eV/atom.

Cell lengths 4.1130, 4.1130, 4.1130 Å; angles 60.00, 60.00, 60.00 degrees
Fractional positions:
B 0.2500 0.2500 0.2500
Bi 0.7500 0.7500 0.7500
Ni 0.0000 0.0000 0.0000

=====

# 14
Compound: LiZr3O6
Source: OQMD via LeMat-Bulk
Functional: PBE-GGA
Structure: optimized geometry

Properties
Its space group is No. 164. The energy is -8.50 eV/atom.

Cell lengths 3.2115, 3.2115, 14.6488 Å; angles 90.00, 90.00, 120.00 degrees
Fractional positions:
Li 0.0000 0.0000 0.5000
O 0.3333 0.6667 0.0690
O 0.6667 0.3333 0.2462
O 0.3333 0.6667 0.4035
O 0.6667 0.3333 0.5965
O 0.3333 0.6667 0.7538
O 0.6667 0.3333 0.9310
Zr 0.0000 0.0000 0.0000
Zr 0.0000 0.0000 0.3151
Zr 0.0000 0.0000 0.6849

=====

# 15
Compound: Tm2NbAs3
Source: OQMD via LeMat-Bulk
Functional: PBE-GGA
Structure: optimized geometry

Properties
Its space group is No. 164. The energy is -6.59 eV/atom.

Cell lengths 3.9303, 3.9303, 9.6224 Å; angles 90.00, 90.00, 120.00 degrees
Fractional positions:
As 0.0000 0.0000 0.0000
As 0.3333 0.6667 0.3499
As 0.6667 0.3333 0.6501
Nb 0.0000 0.0000 0.5000
Tm 0.6667 0.3333 0.1764
Tm 0.3333 0.6667 0.8236

=====

# 16
Compound: LaSm2In3AgPt2
Source: OQMD via LeMat-Bulk
Functional: PBE-GGA
Structure: optimized geometry

Properties
Its space group is No. 38. The energy is -4.98 eV/atom.

Cell lengths 4.0268, 7.8385, 7.8385 Å; angles 119.89, 90.00, 90.00 degrees
Fractional positions:
Ag 0.0000 0.0007 0.0007
In 0.5000 0.7403 0.0044
In 0.5000 0.2554 0.2554
In 0.5000 0.0044 0.7403
La 0.0000 0.5828 0.5828
Pt 0.5000 0.6675 0.3336
Pt 0.5000 0.3336 0.6675
Sm 0.0000 0.4151 0.0002
Sm 0.0000 0.0002 0.4151

=====

# 17
Compound: PaTcO3
Source: OQMD via LeMat-Bulk
Functional: PBE-GGA
Structure: optimized geometry

Properties
Its space group is No. 221. The energy is -8.17 eV/atom.

Cell lengths 3.9619, 3.9619, 3.9619 Å; angles 90.00, 90.00, 90.00 degrees
Each line ends with the local moment (μB).
Fractional positions:
O 0.5000 0.5000 0.0000  -0.04
O 0.5000 0.0000 0.5000  -0.06
O 0.0000 0.5000 0.5000  -0.12
Pa 0.0000 0.0000 0.0000  1.67
Tc 0.5000 0.5000 0.5000  -0.86

=====

# 18
Compound: ZnCd2Os
Source: OQMD via LeMat-Bulk
Functional: PBE-GGA
Structure: optimized geometry

Properties
Its space group is No. 216. The energy is -3.11 eV/atom.

Cell lengths 4.5785, 4.5785, 4.5785 Å; angles 60.00, 60.00, 60.00 degrees
Fractional positions:
Cd 0.0000 0.0000 0.0000
Cd 0.7500 0.7500 0.7500
Os 0.5000 0.5000 0.5000
Zn 0.2500 0.2500 0.2500

=====

# 19
Compound: Sc4Mo2Au3C3
Source: OQMD via LeMat-Bulk
Functional: PBE-GGA
Structure: optimized geometry

Properties
Its space group is No. 15. The energy is -7.53 eV/atom.

Cell lengths 5.6351, 5.6351, 14.1111 Å; angles 101.50, 101.50, 60.43 degrees
Fractional positions:
Au 0.5794 0.7166 0.2493
Au 0.8704 0.1296 0.2500
Au 0.2834 0.4206 0.2507
Au 0.7166 0.5794 0.7493
Au 0.1296 0.8704 0.7500
Au 0.4206 0.2834 0.7507
C 0.5000 0.0000 0.0000
C 0.1828 0.6586 0.0003
C 0.3414 0.8172 0.4997
C 0.0000 0.5000 0.5000
C 0.6586 0.1828 0.5003
C 0.8172 0.3414 0.9997
Mo 0.5260 0.3419 0.0692
Mo 0.6581 0.4740 0.4308
Mo 0.3419 0.5260 0.5692
Mo 0.4740 0.6581 0.9308
Sc 0.8767 0.6992 0.0963
Sc 0.1860 0.0436 0.0965
Sc 0.9564 0.8140 0.4035
Sc 0.3008 0.1233 0.4037
Sc 0.6992 0.8767 0.5963
Sc 0.0436 0.1860 0.5965
Sc 0.8140 0.9564 0.9035
Sc 0.1233 0.3008 0.9037

=====

# 20
Compound: K4CuAgAs2
Source: OQMD via LeMat-Bulk
Functional: PBE-GGA
Structure: optimized geometry

Properties
Its space group is No. 12. The energy is -2.91 eV/atom.

Cell lengths 6.3618, 6.3618, 6.0391 Å; angles 90.87, 90.87, 104.92 degrees
Fractional positions:
Ag 0.5000 0.5000 0.0000
As 0.2496 0.2496 0.2673
As 0.7504 0.7504 0.7327
Cu 0.5000 0.5000 0.5000
K 0.6804 0.0228 0.2516
K 0.0228 0.6804 0.2516
K 0.9772 0.3196 0.7484
K 0.3196 0.9772 0.7484

=====

# 21
Compound: GdHICl
Source: OQMD via LeMat-Bulk
Functional: PBE-GGA
Structure: optimized geometry

Properties
Its space group is No. 164. The energy is -4.34 eV/atom.

Cell lengths 3.9128, 3.9128, 15.0957 Å; angles 90.00, 90.00, 120.00 degrees
Fractional positions:
Cl 0.6667 0.3333 0.1256
Cl 0.3333 0.6667 0.8744
Gd 0.0000 0.0000 0.2377
Gd 0.0000 0.0000 0.7623
H 0.3333 0.6667 0.2425
H 0.6667 0.3333 0.7575
I 0.6667 0.3333 0.3816
I 0.3333 0.6667 0.6184

=====

# 22
Compound: BeCuAsAu
Source: OQMD via LeMat-Bulk
Functional: PBE-GGA
Structure: optimized geometry

Properties
Its space group is No. 216. The energy is -3.50 eV/atom.

Cell lengths 4.3846, 4.3846, 4.3846 Å; angles 60.00, 60.00, 60.00 degrees
Fractional positions:
As 0.0000 0.0000 0.0000
Au 0.2500 0.2500 0.2500
Be 0.5000 0.5000 0.5000
Cu 0.7500 0.7500 0.7500

=====

# 23
Compound: NbCo2Ir
Source: OQMD via LeMat-Bulk
Functional: PBE-GGA
Structure: optimized geometry

Properties
Its space group is No. 38. The energy is -8.58 eV/atom.

Cell lengths 4.2506, 5.3439, 5.3439 Å; angles 60.33, 90.00, 90.00 degrees
Each line ends with the local moment (μB).
Fractional positions:
Co 0.5000 0.1600 0.1600  0.15
Co 0.0000 0.8457 0.3202  0.48
Co 0.0000 0.8379 0.8379  0.07
Co 0.0000 0.3202 0.8457  0.51
Ir 0.5000 0.6804 0.1628  0.02
Ir 0.5000 0.1628 0.6804  0.02
Nb 0.0000 0.3262 0.3262  -0.09
Nb 0.5000 0.6667 0.6667  -0.11

=====

# 24
Compound: YTaGa
Source: OQMD via LeMat-Bulk
Functional: PBE-GGA
Structure: optimized geometry

Properties
Its space group is No. 216. The energy is -5.97 eV/atom.

Cell lengths 4.7848, 4.7848, 4.7848 Å; angles 60.00, 60.00, 60.00 degrees
Each line ends with the local moment (μB).
Fractional positions:
Ga 0.2500 0.2500 0.2500  -0.09
Ta 0.7500 0.7500 0.7500  1.65
Y 0.5000 0.5000 0.5000  0.46

=====

# 25
Compound: LaDy2Zn4Si4
Source: OQMD via LeMat-Bulk
Functional: PBE-GGA
Structure: optimized geometry

Properties
Its space group is No. 71. The energy is -4.25 eV/atom.

Cell lengths 12.6935, 12.6935, 12.6935 Å; angles 161.40, 161.26, 26.52 degrees
Fractional positions:
Dy 0.6446 0.1446 0.5000
Dy 0.3554 0.8554 0.5000
La 0.0000 0.0000 0.0000
Si 0.4514 0.4514 0.0000
Si 0.5486 0.5486 0.0000
Si 0.8094 0.3094 0.5000
Si 0.1906 0.6906 0.5000
Zn 0.2503 0.2503 0.0000
Zn 0.7497 0.7497 0.0000
Zn 0.9040 0.4040 0.5000
Zn 0.0960 0.5960 0.5000